The following is a PBE calculation of Np2BC2 after structural relaxation, from Alexandria via LeMat-Bulk.

Computed properties:
For the formation energy from the elements, the calculation gives 0.0208 eV/atom. The calculation puts the density at 14.020 Mg/m³. The value obtained for the density of states at the Fermi level is 16.9 states/eV/cell. As for the space group: Cmc2_1, No. 36. Its magnetization is 1.017 Bohr magnetons per cell.

Cell: 2.965 6.234 6.688 Å, 90.00 102.81 90.00°
Last column: magnetic moment on the atom in μB.
Atoms (fractional coordinates):
1 Np 0.942 0.817 0.885  2.36
2 Np 0.207 0.575 0.413  -1.85
3 Np 0.793 0.075 0.587  -1.85
4 Np 0.058 0.317 0.115  2.36
5 C 0.852 0.460 0.703  0.01
6 C 0.561 0.643 0.122  -0.03
7 C 0.148 0.960 0.297  0.01
8 C 0.439 0.143 0.878  -0.03
9 B 0.618 0.870 0.236  0.01
10 B 0.382 0.370 0.764  0.01

The following is a PBE calculation of NpBOsC after structural relaxation, from Alexandria via LeMat-Bulk.

Computed properties:
For the formation energy from the elements, the calculation gives -0.1129 eV/atom. The calculation puts the density at 14.270 Mg/m³. The value obtained for the density of states at the Fermi level is 12.5 states/eV/cell. As for the space group: P4/nmm, No. 129. Its magnetization is 5.975 Bohr magnetons per cell.

Cell: 3.671 3.671 7.773 Å, 90.00 90.00 90.00°
Last column: magnetic moment on the atom in μB.
Atoms (fractional coordinates):
1 Np 0.000 0.500 0.835  3.05
2 Np 0.500 0.000 0.165  3.05
3 B 0.000 0.500 0.331  0.00
4 B 0.500 0.000 0.669  0.00
5 C 0.000 0.500 0.129  -0.13
6 C 0.500 0.000 0.871  -0.13
7 Os 0.500 0.500 0.500  -0.09
8 Os 0.000 0.000 0.500  -0.09

The following is a PBE calculation of NpTa2BC4 after structural relaxation, from Alexandria via LeMat-Bulk.

Computed properties:
For the formation energy from the elements, the calculation gives -0.2130 eV/atom. The calculation puts the density at 12.425 Mg/m³. The value obtained for the density of states at the Fermi level is 10.5 states/eV/cell. As for the space group: Cmcm, No. 63. Its magnetization is 6.025 Bohr magnetons per cell.

Cell: 3.143 5.520 10.572 Å, 90.00 90.00 106.54°
Last column: magnetic moment on the atom in μB.
Atoms (fractional coordinates):
1 C 0.420 0.841 0.750  -0.04
2 C 0.733 0.466 0.627  -0.04
3 C 0.267 0.534 0.373  -0.04
4 C 0.000 0.000 0.500  -0.03
5 C 0.267 0.534 0.127  -0.04
6 C 0.733 0.466 0.873  -0.04
7 C 0.000 0.000 0.000  -0.03
8 C 0.580 0.159 0.250  -0.04
9 Ta 0.367 0.733 0.548  0.03
10 Ta 0.633 0.267 0.048  0.03
11 Ta 0.633 0.267 0.452  0.03
12 Ta 0.367 0.733 0.952  0.03
13 Np 0.096 0.191 0.750  3.01
14 Np 0.904 0.809 0.250  3.01
15 B 0.173 0.346 0.250  0.00
16 B 0.827 0.654 0.750  0.00

The following is a PBE calculation of PmBC2O8 after structural relaxation, from Alexandria via LeMat-Bulk.

Computed properties:
The calculation puts the density at 4.835 Mg/m³. The value obtained for the density of states at the Fermi level is 2.2 states/eV/cell. As for the space group: C2/m, No. 12. Its magnetization is 0.373 Bohr magnetons per cell. As for the raw formation energy: -1.327 eV per atom.

Cell: 4.333 4.373 7.049 Å, 66.99 72.10 60.31°
Last column: magnetic moment on the atom in μB.
Atoms (fractional coordinates):
1 Pm 0.500 0.500 0.500  0.00
2 O 0.760 0.498 0.981  -0.01
3 O 0.816 0.751 0.618  0.01
4 O 0.319 0.047 0.814  0.09
5 O 0.240 0.502 0.019  -0.01
6 O 0.184 0.249 0.382  0.01
7 O 0.820 0.047 0.814  0.09
8 O 0.180 0.953 0.186  0.09
9 O 0.681 0.953 0.186  0.09
10 C 0.693 0.805 0.810  0.00
11 C 0.307 0.195 0.190  0.00
12 B 0.000 0.000 0.000  -0.01

The following is a PBE calculation of Rb2BC2O6 after structural relaxation, from Alexandria via LeMat-Bulk.

Computed properties:
The calculation puts the density at 3.076 Mg/m³. The value obtained for the density of states at the Fermi level is 2.7 states/eV/cell. As for the space group: C2/m, No. 12. Its magnetization is 0.099 Bohr magnetons per cell. As for the raw formation energy: -1.252 eV per atom.

Cell: 4.551 6.641 6.620 Å, 117.96 90.00 110.04°
Atoms (fractional coordinates):
1 O 0.197 0.870 0.296
2 O 0.803 0.130 0.704
3 O 0.103 0.207 0.353
4 O 0.897 0.793 0.647
5 O 0.327 0.130 0.704
6 O 0.673 0.870 0.296
7 C 0.001 0.002 0.652
8 C 0.999 0.998 0.348
9 Rb 0.683 0.367 0.193
10 Rb 0.317 0.633 0.807
11 B 0.500 0.000 0.500

The following is a PBE calculation of B2RuCO after structural relaxation, from Alexandria via LeMat-Bulk.

Computed properties:
The calculation puts the density at 5.656 Mg/m³. The value obtained for the density of states at the Fermi level is 2.7 states/eV/cell. As for the space group: P4/mmm, No. 123. Its magnetization is 0.744 Bohr magnetons per cell. As for the raw formation energy: 1.568 eV per atom.

Cell: 3.063 4.716 3.063 Å, 90.00 90.00 90.00°
Last column: magnetic moment on the atom in μB.
Atoms (fractional coordinates):
1 B 0.500 0.000 0.000  0.01
2 B 0.000 0.000 0.500  0.01
3 C 0.000 0.500 0.000  0.06
4 Ru 0.500 0.500 0.500  0.61
5 O 0.000 0.000 0.000  0.00

Among the records above, which one has the lowest density? Rb2BC2O6

Which of these has the lowest density? Rb2BC2O6

Which value of magnetization does entry 4 give? 0.373 Bohr magnetons per cell